Entry 1:
DFT (PBE) results for an optimized crystal structure of Zr2Ga2Pt.

Computed properties:
VASP energy: -6.63 eV/atom
M_tot: 0.000 μB/f.u.
Energy relative to the lowest polymorph listed for this composition: 36.3 meV/atom
Volume: 186 Å³/cell
Crystal system: monoclinic

abc: 5.524 5.524 9.815
angles: 113.99 113.99 43.84
Sites, in units of the cell vectors:
Zr 0.003 0.003 0.179
Zr 0.182 0.182 0.611
Zr 0.818 0.818 0.389
Zr 0.997 0.997 0.821
Ga 0.362 0.362 0.945
Ga 0.460 0.460 0.609
Ga 0.540 0.540 0.391
Ga 0.638 0.638 0.055
Pt 0.285 0.285 0.167
Pt 0.715 0.715 0.833

Entry 2:
DFT (PBE) results for an optimized crystal structure of Sm8In2Pb.

Computed properties:
VASP energy: -4.54 eV/atom
M_tot: 0.000 μB/f.u.
Volume: 336 Å³/cell
Crystal system: monoclinic

abc: 9.076 9.076 8.246
angles: 109.84 109.84 31.90
Sites, in units of the cell vectors:
Sm 0.054 0.054 0.228
Sm 0.144 0.144 0.706
Sm 0.320 0.320 0.564
Sm 0.403 0.403 0.047
Sm 0.597 0.597 0.953
Sm 0.680 0.680 0.436
Sm 0.856 0.856 0.294
Sm 0.946 0.946 0.772
In 0.224 0.224 0.149
In 0.776 0.776 0.851
Pb 0.500 0.500 0.500

Entry 3:
DFT (PBE) results for an optimized crystal structure of Ho6US12.

Computed properties:
VASP energy: -6.50 eV/atom
Uncorrected formation energy: -1852 meV/atom
M_tot: 0.000 μB/f.u.
Volume: 459 Å³/cell
Crystal system: trigonal

abc: 7.820 7.820 7.820
angles: 98.87 98.87 98.87
Sites, in units of the cell vectors:
Ho 0.132 0.645 0.827
Ho 0.173 0.868 0.355
Ho 0.355 0.173 0.868
Ho 0.645 0.827 0.132
Ho 0.827 0.132 0.645
Ho 0.868 0.355 0.173
U 0.500 0.500 0.500
S 0.079 0.323 0.919
S 0.081 0.921 0.677
S 0.178 0.531 0.422
S 0.323 0.919 0.079
S 0.422 0.178 0.531
S 0.469 0.578 0.822
S 0.531 0.422 0.178
S 0.578 0.822 0.469
S 0.677 0.081 0.921
S 0.822 0.469 0.578
S 0.919 0.079 0.323
S 0.921 0.677 0.081

Entry 4:
DFT (PBE) results for an optimized crystal structure of Ba4In3Ga.

Computed properties:
VASP energy: -2.74 eV/atom
M_tot: 0.000 μB/f.u.
Volume: 320 Å³/cell
Crystal system: orthorhombic

abc: 4.609 5.099 13.636
angles: 90.00 90.00 90.00
Sites, in units of the cell vectors:
Ba 0.000 0.000 0.000
Ba 0.000 0.500 0.281
Ba 0.500 0.000 0.488
Ba 0.500 0.500 0.787
In 0.000 0.000 0.704
In 0.000 0.500 0.572
In 0.500 0.500 0.078
Ga 0.500 0.000 0.205

Entry 5:
DFT (PBE) results for an optimized crystal structure of KCr2Cl.

Computed properties:
VASP energy: -4.78 eV/atom
Uncorrected formation energy: 768 meV/atom
M_tot: 10.136 μB/f.u.
Energy relative to the lowest polymorph listed for this composition: 762.4 meV/atom
Volume: 118 Å³/cell
Crystal system: tetragonal

abc: 4.455 4.455 5.944
angles: 90.00 90.00 90.00
Sites, in units of the cell vectors:
K 0.000 0.000 0.000
Cr 0.500 0.500 0.256
Cr 0.500 0.500 0.744
Cl 0.000 0.000 0.500

Entry 6:
DFT (PBE) results for an optimized crystal structure of BeInTe2.

Computed properties:
VASP energy: -2.85 eV/atom
Uncorrected formation energy: 334 meV/atom
M_tot: 0.000 μB/f.u.
Energy relative to the lowest polymorph listed for this composition: 511.0 meV/atom
Volume: 212 Å³/cell
Crystal system: monoclinic

abc: 5.902 8.469 5.151
angles: 90.00 124.64 90.00
Sites, in units of the cell vectors:
Be 0.000 0.000 0.000
Be 0.500 0.500 0.000
In 0.000 0.500 0.000
In 0.500 0.000 0.000
Te 0.250 0.250 0.500
Te 0.250 0.750 0.500
Te 0.750 0.250 0.500
Te 0.750 0.750 0.500

Entry 7:
DFT (PBE) results for an optimized crystal structure of AcLa2Tb5Er.

Computed properties:
VASP energy: -4.38 eV/atom
M_tot: 0.000 μB/f.u.
Volume: 621 Å³/cell
Crystal system: tetragonal

abc: 10.127 10.127 10.127
angles: 128.34 128.34 76.07
Sites, in units of the cell vectors:
Ac 0.250 0.250 0.000
Ac 0.750 0.750 0.000
La 0.117 0.617 0.735
La 0.383 0.117 0.500
La 0.617 0.883 0.500
La 0.883 0.383 0.265
Tb 0.000 0.000 0.000
Tb 0.075 0.151 0.500
Tb 0.151 0.651 0.076
Tb 0.349 0.425 0.500
Tb 0.425 0.925 0.076
Tb 0.500 0.500 0.000
Tb 0.575 0.075 0.924
Tb 0.651 0.575 0.500
Tb 0.849 0.349 0.924
Tb 0.925 0.849 0.500
Er 0.250 0.750 0.500
Er 0.750 0.250 0.500

Entry 8:
DFT (PBE) results for an optimized crystal structure of Tm4HgTe2P.

Computed properties:
VASP energy: -4.84 eV/atom
Uncorrected formation energy: -1104 meV/atom
M_tot: 0.000 μB/f.u.
Volume: 212 Å³/cell
Crystal system: monoclinic

abc: 7.305 4.075 7.476
angles: 90.00 107.91 90.00
Sites, in units of the cell vectors:
Tm 0.216 0.000 0.226
Tm 0.227 0.500 0.756
Tm 0.773 0.500 0.244
Tm 0.784 0.000 0.774
Hg 0.000 0.000 0.500
Te 0.500 0.000 0.000
Te 0.500 0.500 0.500
P 0.000 0.500 0.000